[1]
Here is a geometry-optimized Si2RhBr structure from the Alexandria database. Energies are from PBE.

## Properties
For the uncorrected formation energy, the calculation gives 0.582 eV/atom. Its excess energy over the best structure of this formula in the dataset is 0.623 eV per atom.

a b c (Å): 5.130 3.672 3.672
angles (deg): 90.00 90.00 90.00
Sites, in units of the cell vectors:
Si (0.000, 0.000, 0.000)
Rh (0.500, 0.000, 0.500)
Br (0.500, 0.500, 0.000)
Si (0.000, 0.500, 0.500)



[2]
Here is a geometry-optimized La2Pm8Mg structure from the Alexandria database. Energies are from PBE.

## Properties
The value obtained for the energy relative to the elements is 0.104 eV/atom. Its excess energy over the best structure of this formula in the dataset is 0.087 eV per atom.

a b c (Å): 5.693 7.810 9.870
angles (deg): 113.30 106.76 90.00
Sites, in units of the cell vectors:
Pm (0.633, 0.854, 0.267)
Pm (0.828, 0.828, 0.656)
Pm (0.367, 0.146, 0.733)
La (0.805, 0.305, 0.609)
Mg (0.500, 0.000, 0.000)
La (0.195, 0.695, 0.391)
Pm (0.000, 0.736, 0.000)
Pm (0.367, 0.587, 0.733)
Pm (0.633, 0.413, 0.267)
Pm (0.000, 0.264, 0.000)
Pm (0.172, 0.172, 0.344)



[3]
Here is a geometry-optimized Ba2InC structure from the Alexandria database. Energies are from PBE.

## Properties
The value obtained for the energy relative to the elements is 0.632 eV/atom. Its excess energy over the best structure of this formula in the dataset is 0.000 eV per atom.

a b c (Å): 8.685 8.685 7.165
angles (deg): 52.69 52.69 90.00
Each line ends with the local moment (μB).
Sites, in units of the cell vectors:
C (0.250, 0.750, 0.500)  0.40
C (0.500, 0.500, 0.000)  0.40
Ba (0.220, 0.625, 0.250)  0.05
Ba (0.530, 0.125, 0.250)  0.06
In (0.750, 0.250, 0.500)  0.01
In (0.000, 0.000, 0.000)  0.01
Ba (0.375, 0.470, 0.750)  0.06
Ba (0.875, 0.780, 0.750)  0.06



[4]
Here is a geometry-optimized Er2ScCd4 structure from the Alexandria database. Energies are from PBE.

## Properties
The value obtained for the energy relative to the elements is -0.111 eV/atom. Its excess energy over the best structure of this formula in the dataset is 0.000 eV per atom.

a b c (Å): 5.067 5.067 8.857
angles (deg): 73.38 73.38 60.00
Sites, in units of the cell vectors:
Er (0.250, 0.250, 0.250)
Cd (0.874, 0.874, 0.378)
Cd (0.624, 0.624, 0.127)
Cd (0.376, 0.376, 0.873)
Er (0.750, 0.750, 0.750)
Cd (0.126, 0.126, 0.622)
Sc (0.000, 0.000, 0.000)



[5]
Here is a geometry-optimized LaDy4Ho7 structure from the Alexandria database. Energies are from PBE.

## Properties
The value obtained for the energy relative to the elements is 0.002 eV/atom. Its excess energy over the best structure of this formula in the dataset is 0.000 eV per atom.

a b c (Å): 7.160 6.198 11.361
angles (deg): 79.51 50.93 89.99
Sites, in units of the cell vectors:
Dy (0.166, 0.221, 0.334)
Ho (0.252, 0.500, 0.000)
Dy (0.412, 0.721, 0.336)
La (0.000, 0.000, 0.000)
Ho (0.916, 0.721, 0.336)
Dy (0.834, 0.779, 0.666)
Ho (0.748, 0.500, 0.000)
Ho (0.084, 0.279, 0.664)
Dy (0.588, 0.279, 0.664)
Ho (0.335, 0.777, 0.664)
Ho (0.665, 0.223, 0.336)
Ho (0.500, 0.000, 0.000)



[6]
Here is a geometry-optimized Mg5Ga4Ag structure from the Alexandria database. Energies are from PBE.

## Properties
The value obtained for the energy relative to the elements is -0.151 eV/atom.

a b c (Å): 3.442 3.442 16.224
angles (deg): 90.00 90.00 90.00
Sites, in units of the cell vectors:
Mg (0.500, 0.500, 0.500)
Ga (0.000, 0.000, 0.196)
Mg (0.500, 0.500, 0.097)
Mg (0.500, 0.500, 0.903)
Ga (0.000, 0.000, 0.804)
Ga (0.000, 0.000, 0.400)
Mg (0.500, 0.500, 0.297)
Ga (0.000, 0.000, 0.600)
Ag (0.000, 0.000, 0.000)
Mg (0.500, 0.500, 0.703)



[7]
Here is a geometry-optimized CdHRu structure from the Alexandria database. Energies are from PBE.

## Properties
The calculation puts the total energy at -4.32 eV/atom.

a b c (Å): 3.024 5.963 5.003
angles (deg): 124.89 90.00 90.00
Sites, in units of the cell vectors:
H (0.750, 0.605, 0.062)
Ru (0.250, 0.775, 0.285)
Cd (0.250, 0.248, 0.249)
Ru (0.750, 0.225, 0.715)
Cd (0.750, 0.752, 0.751)
H (0.250, 0.395, 0.938)



[8]
Here is a geometry-optimized TaCoCu3 structure from the Alexandria database. Energies are from PBE.

## Properties
The value obtained for the energy relative to the elements is 1.174 eV/atom. Its excess energy over the best structure of this formula in the dataset is 0.000 eV per atom.

a b c (Å): 4.260 4.260 4.260
angles (deg): 90.00 90.00 90.00
Sites, in units of the cell vectors:
Cu (0.000, 0.000, 0.500)
Ta (0.500, 0.500, 0.500)
Cu (0.000, 0.500, 0.000)
Co (0.000, 0.000, 0.000)
Cu (0.500, 0.000, 0.000)



[9]
Here is a geometry-optimized K4Pa3MnSe8 structure from the Alexandria database. Energies are from PBE.

## Properties
For the uncorrected formation energy, the calculation gives -1.207 eV/atom.

a b c (Å): 8.294 9.143 8.293
angles (deg): 116.96 120.01 90.00
Each line ends with the local moment (μB).
Sites, in units of the cell vectors:
K (0.500, 0.000, 0.000)  0.01
Se (0.229, 0.704, 0.458)  0.00
Pa (0.500, 0.500, 0.500)  1.35
K (0.000, 0.000, 0.000)  0.00
Se (0.229, 0.704, 0.974)  0.00
Pa (0.500, 0.500, 0.000)  1.35
Se (0.262, 0.286, 0.524)  -0.03
Se (0.745, 0.704, 0.974)  0.00
K (0.000, 0.000, 0.500)  0.00
Mn (0.000, 0.500, 0.000)  4.29
Se (0.771, 0.296, 0.542)  0.00
Pa (0.000, 0.500, 0.500)  1.35
Se (0.738, 0.714, 0.476)  -0.03
Se (0.255, 0.296, 0.026)  0.00
Se (0.771, 0.296, 0.026)  0.00
K (0.500, 0.000, 0.500)  0.00



[10]
Here is a geometry-optimized TaPt5Rh6 structure from the Alexandria database. Energies are from PBE.

## Properties
The value obtained for the energy relative to the elements is -0.265 eV/atom.

a b c (Å): 3.924 6.200 7.806
angles (deg): 90.00 90.00 108.45
Sites, in units of the cell vectors:
Pt (0.336, 0.672, 0.500)
Pt (0.662, 0.324, 0.000)
Rh (0.166, 0.332, 0.246)
Rh (0.166, 0.332, 0.754)
Pt (0.664, 0.328, 0.500)
Rh (0.834, 0.668, 0.754)
Pt (0.338, 0.676, 0.000)
Rh (0.834, 0.668, 0.246)
Rh (0.500, 0.000, 0.755)
Rh (0.500, 0.000, 0.245)
Pt (0.000, 0.000, 0.500)
Ta (0.000, 0.000, 0.000)



[11]
Here is a geometry-optimized MgIn2P structure from the Alexandria database. Energies are from PBE.

## Properties
The value obtained for the energy relative to the elements is 0.072 eV/atom. Its excess energy over the best structure of this formula in the dataset is 0.188 eV per atom.

a b c (Å): 4.129 4.131 5.321
angles (deg): 90.00 90.00 90.00
Sites, in units of the cell vectors:
In (0.500, 0.500, 0.000)
Mg (0.500, 0.000, 0.500)
P (0.000, 0.500, 0.500)
In (0.000, 0.000, 0.000)



[12]
Here is a geometry-optimized Cs2TlPd2 structure from the Alexandria database. Energies are from PBE.

## Properties
The value obtained for the energy relative to the elements is -0.169 eV/atom. Its excess energy over the best structure of this formula in the dataset is 0.000 eV per atom.

a b c (Å): 4.828 4.828 11.272
angles (deg): 77.63 77.63 60.00
Sites, in units of the cell vectors:
Pd (0.323, 0.323, 0.030)
Cs (0.424, 0.424, 0.728)
Cs (0.576, 0.576, 0.272)
Tl (0.000, 0.000, 0.000)
Pd (0.677, 0.677, 0.970)